Entry from Alexandria via LeMat-Bulk: PrLuGaNi after structural relaxation (PBE-GGA).

raw total energy = -19.63 eV per cell
density = 8.4 Mg/m³
energy of formation = -0.38 eV per atom

a = 4.995 Å, b = 4.995 Å, c = 4.995 Å
α = 60.00°, β = 60.00°, γ = 60.00°
Sites, in units of the cell vectors:
Pr 0.000 0.000 0.000
Lu 0.500 0.500 0.500
Ga 0.250 0.250 0.250
Ni 0.750 0.750 0.750